First-principles (PBE) data for a relaxed TmMgTc crystal, as listed in Alexandria.

Calculated values
Crystal system   orthorhombic
ΔE_f   0.36 eV per atom

Cell lengths 4.9046, 4.0569, 9.8849 Å; angles 81.38, 75.64, 52.81 degrees
Fractional coordinates of all 6 atoms:
Tm 0.6011 0.0000 0.7977
Tc 0.8213 0.3574 0.0000
Mg 0.7500 0.5000 0.5000
Mg 0.2500 0.5000 0.5000
Tm 0.3989 0.0000 0.2023
Tc 0.1787 0.6426 0.0000